[1]
VASP calculation (GGA-PBE) on a relaxed BaSc2Te4 crystal.

As for the crystal system: orthorhombic. Its calculated total energy is -5.24 eV/atom. The space group is No. 63. The density of states at the Fermi level is 0.02 states/eV per atom. The value obtained for the offset from the most stable computed form is 0.28 eV/f.u. The calculated volume is 32.651 Å³ per atom.

Lattice parameters (Å, degrees): 4.3635 7.3848 14.8485 90.00 90.00 107.18
Element x y z (fractional)
1 Ba 0.6111 0.2221 0.7500
2 Ba 0.3889 0.7779 0.2500
3 Sc 0.1335 0.2671 0.4344
4 Sc 0.8665 0.7329 0.9344
5 Sc 0.1335 0.2671 0.0656
6 Sc 0.8665 0.7329 0.5656
7 Te 0.7664 0.5327 0.1073
8 Te 0.7664 0.5327 0.3927
9 Te 0.2336 0.4673 0.8927
10 Te 0.2336 0.4673 0.6073
11 Te 0.9242 0.8484 0.7500
12 Te 0.0758 0.1516 0.2500
13 Te 0.5000 0.0000 0.0000
14 Te 0.5000 0.0000 0.5000

[2]
VASP calculation (GGA-PBE) on a relaxed TiTl2CrAs crystal.

As for the crystal system: tetragonal. As for the formation energy: 0.898 eV per atom. Its calculated total energy is -4.48 eV/atom. The space group is No. 123. The density of states at the Fermi level is 1.15 states/eV per atom. The calculated volume is 27.858 Å³ per atom.

Lattice parameters (Å, degrees): 5.4819 4.6351 5.4819 90.00 90.00 90.00
Element x y z (fractional)
1 Cr 0.0000 0.5000 0.0000
2 Tl 0.0000 0.0000 0.5000
3 Tl 0.5000 0.0000 0.0000
4 As 0.0000 0.0000 0.0000
5 Ti 0.5000 0.5000 0.5000